Density functional theory data (PBE) for LiCeMg2 after structural relaxation.

The space group is R-3m (No. 166, hexagonal axes) and the conventional cell measures 3.0986, 3.0986 and 33.3398 Å, with angles of 90.00, 90.00 and 120.00 degrees. Symmetry generates all atoms from Li at (0.0000, 0.0000, 0.0000), Ce at (0.0000, 0.0000, 0.5000) and Mg at (0.0000, 0.0000, 0.2562).

The value obtained for the energy above the most stable polymorph in this dataset is 0.006 eV/atom. As for the formation energy: -0.001 eV/atom. Its magnetic moment is 0.00 μB/f.u.